(1)
The following is a DFT calculation (PBE) of a relaxed structure of LaDyMgTl.

a = 5.4873 Å, b = 5.4873 Å, c = 5.4873 Å
α = 60.00°, β = 60.00°, γ = 60.00°
Closest atoms and distances in Å follow each position.
Sites, in units of the cell vectors:
Tl 0.0000 0.0000 0.0000  4 La 3.36, 4 Dy 3.36
La 0.7500 0.7500 0.7500  4 Tl 3.36, 4 Mg 3.36
Mg 0.5000 0.5000 0.5000  4 La 3.36, 4 Dy 3.36
Dy 0.2500 0.2500 0.2500  4 Mg 3.36, 4 Tl 3.36

Output
Space-group type   F-43m (216)
Crystal system   cubic

---

(2)
The following is a DFT calculation (PBE) of a relaxed structure of LiTaMn2.

a = 9.2554 Å, b = 9.2554 Å, c = 9.2554 Å
α = 17.59°, β = 17.59°, γ = 17.59°
Closest atoms and distances in Å follow each position.
Sites, in units of the cell vectors:
Li 0.7500 0.7500 0.7500  6 Li 2.83, 6 Mn 2.85
Mn 0.9980 0.9980 0.9980  3 Ta 2.76, 6 Mn 2.83, 3 Li 2.85
Mn 0.5020 0.5020 0.5020  3 Ta 2.76, 6 Mn 2.83, 3 Li 2.85
Ta 0.2500 0.2500 0.2500  6 Mn 2.76, 6 Ta 2.83

Output
Space-group type   R-3m (166)
Crystal system   trigonal

---

(3)
The following is a DFT calculation (PBE) of a relaxed structure of Sr8SiPd2.

a = 6.9639 Å, b = 8.3867 Å, c = 8.3867 Å
α = 111.98°, β = 100.31°, γ = 100.31°
Closest atoms and distances in Å follow each position.
Sites, in units of the cell vectors:
Sr 0.5704 0.3421 0.0778  2 Pd 3.08-3.09, 1 Si 3.27
Sr 0.5704 0.0778 0.3421  2 Pd 3.08-3.09, 1 Si 3.27
Sr 0.1871 0.3606 0.3606  1 Si 3.35, 2 Pd 3.43
Sr 0.9669 0.2000 0.7899  1 Si 3.25, 1 Pd 3.55
Sr 0.9669 0.7899 0.2000  1 Si 3.25, 1 Pd 3.55
Sr 0.7949 0.6467 0.6467  2 Pd 3.23, 1 Si 3.62
Sr 0.3597 0.9297 0.6556  2 Pd 3.18-3.21, 1 Si 3.22
Sr 0.3597 0.6556 0.9297  2 Pd 3.18-3.21, 1 Si 3.22
Si 0.1948 0.0051 0.0051  7 Sr 3.22-3.35
Pd 0.5144 0.6986 0.3280  6 Sr 3.08-3.43
Pd 0.5144 0.3280 0.6986  6 Sr 3.08-3.43

Output
Space-group type   Cm (8)
Formation energy from raw total energies   -266 meV per atom
Crystal system   monoclinic

---

| no. | total energy (eV per atom) | volume (Å³ per cell) |
| --- | --- | --- |
| 1 | -3.626 | 116.8 |
| 2 | -7.637 | 63.2 |
| 3 | -2.927 | 430.3 |